First-principles (GGA-PBEsol) data for K2AlInBr after structural relaxation, as listed in Alexandria.

The structure in POSCAR format:
```
K2AlInBr
1.0
6.703 0.000 0.000
0.000 6.703 0.000
0.000 0.000 4.844
K Al In Br
2 1 1 1
direct
0.000 0.500 0.000
0.500 0.000 0.000
0.000 0.000 0.500
0.000 0.000 0.000
0.500 0.500 0.500
```

Values from the calculation:
- Space-group type: No. 123
- V: 217.65 Å³ per cell
- Final energy: -2.382 eV per atom
- E_form (uncorrected): -0.14 eV per atom

=====

First-principles (GGA-PBEsol) data for Rb2AlInBr6 after structural relaxation, as listed in Alexandria.

The structure in POSCAR format:
```
Rb2AlInBr6
1.0
0.000 5.528 5.528
5.528 0.000 5.528
5.528 5.528 0.000
Rb Al In Br
2 1 1 6
direct
0.250 0.250 0.250
0.750 0.750 0.750
0.000 0.000 0.000
0.500 0.500 0.500
0.227 0.227 0.773
0.227 0.773 0.227
0.227 0.773 0.773
0.773 0.227 0.227
0.773 0.227 0.773
0.773 0.773 0.227
```

Values from the calculation:
- Space-group type: No. 225
- V: 337.93 Å³ per cell
- Final energy: -3.277 eV per atom
- E_form (uncorrected): -1.24 eV per atom

=====

First-principles (GGA-PBEsol) data for AlIrBr2 after structural relaxation, as listed in Alexandria.

The structure in POSCAR format:
```
AlIrBr2
1.0
0.000 3.310 3.310
3.310 0.000 3.310
3.310 3.310 0.000
Al Ir Br
1 1 2
direct
0.000 0.000 0.000
0.500 0.500 0.500
0.250 0.250 0.250
0.750 0.750 0.750
```

Values from the calculation:
- Distance to the lowest polymorph of the same formula: 213 meV/atom
- Space-group type: No. 225
- V: 72.52 Å³ per cell
- Final energy: -3.619 eV per atom
- E_form (uncorrected): 0.79 eV per atom

=====

First-principles (GGA-PBEsol) data for AlIrBr2 after structural relaxation, as listed in Alexandria.

The structure in POSCAR format:
```
AlIrBr2
1.0
1.815 1.048 8.114
-1.815 1.048 8.114
0.000 -2.096 8.114
Al Ir Br
1 1 2
direct
0.000 0.000 0.000
0.500 0.500 0.500
0.225 0.225 0.225
0.775 0.775 0.775
```

Values from the calculation:
- Distance to the lowest polymorph of the same formula: 0 meV/atom
- Space-group type: No. 166
- V: 92.62 Å³ per cell
- Final energy: -3.833 eV per atom
- E_form (uncorrected): 0.58 eV per atom

=====

First-principles (GGA-PBEsol) data for AlIr3Br after structural relaxation, as listed in Alexandria.

The structure in POSCAR format:
```
AlIr3Br
1.0
4.503 0.000 0.000
0.000 4.503 0.000
0.000 0.000 4.503
Al Ir Br
1 3 1
direct
0.000 0.000 0.000
0.000 0.000 0.500
0.000 0.500 0.000
0.500 0.000 0.000
0.500 0.500 0.500
```

Values from the calculation:
- Space-group type: No. 221
- V: 91.31 Å³ per cell
- Final energy: -5.477 eV per atom
- E_form (uncorrected): 1.61 eV per atom

=====

First-principles (GGA-PBEsol) data for AlIr2Br after structural relaxation, as listed in Alexandria.

The structure in POSCAR format:
```
AlIr2Br
1.0
1.424 -2.346 0.000
1.424 2.346 0.000
0.000 0.000 10.107
Al Ir Br
1 2 1
direct
0.000 0.000 0.000
0.500 0.500 0.194
0.500 0.500 0.806
0.000 0.000 0.500
```

Values from the calculation:
- Distance to the lowest polymorph of the same formula: 31 meV/atom
- Space-group type: No. 65
- V: 67.55 Å³ per cell
- Final energy: -6.211 eV per atom
- E_form (uncorrected): 0.19 eV per atom

=====

First-principles (GGA-PBEsol) data for AlIrBr2 after structural relaxation, as listed in Alexandria.

The structure in POSCAR format:
```
AlIrBr2
1.0
4.800 0.000 0.000
0.000 4.800 0.000
0.000 0.000 3.167
Al Ir Br
1 1 2
direct
0.000 0.000 0.000
0.500 0.500 0.000
0.000 0.500 0.500
0.500 0.000 0.500
```

Values from the calculation:
- Distance to the lowest polymorph of the same formula: 160 meV/atom
- Space-group type: No. 123
- V: 72.95 Å³ per cell
- Final energy: -3.673 eV per atom
- E_form (uncorrected): 0.74 eV per atom

=====

First-principles (GGA-PBEsol) data for AlIrBr after structural relaxation, as listed in Alexandria.

The structure in POSCAR format:
```
AlIrBr
1.0
3.144 0.000 0.000
-1.572 2.723 0.000
0.000 0.000 6.138
Al Ir Br
1 1 1
direct
0.000 0.000 0.000
0.333 0.667 0.262
0.667 0.333 0.697
```

Values from the calculation:
- Space-group type: No. 156
- V: 52.55 Å³ per cell
- Final energy: -5.335 eV per atom
- E_form (uncorrected): -0.07 eV per atom

=====

First-principles (GGA-PBEsol) data for AlIr2Br after structural relaxation, as listed in Alexandria.

The structure in POSCAR format:
```
AlIr2Br
1.0
2.957 0.000 0.000
0.000 2.957 0.000
0.000 0.000 7.055
Al Ir Br
1 2 1
direct
0.000 0.000 0.000
0.500 0.500 0.207
0.500 0.500 0.793
0.000 0.000 0.500
```

Values from the calculation:
- Distance to the lowest polymorph of the same formula: 0 meV/atom
- Space-group type: No. 123
- V: 61.68 Å³ per cell
- Final energy: -6.243 eV per atom
- E_form (uncorrected): 0.16 eV per atom

=====

First-principles (GGA-PBEsol) data for AlIr2Br after structural relaxation, as listed in Alexandria.

The structure in POSCAR format:
```
AlIr2Br
1.0
2.894 0.000 0.000
0.000 2.894 0.000
0.000 0.000 7.651
Al Ir Br
1 2 1
direct
0.000 0.000 0.000
0.000 0.000 0.561
0.500 0.500 0.803
0.500 0.500 0.307
```

Values from the calculation:
- Distance to the lowest polymorph of the same formula: 171 meV/atom
- Space-group type: No. 99
- V: 64.08 Å³ per cell
- Final energy: -6.072 eV per atom
- E_form (uncorrected): 0.33 eV per atom

=====

First-principles (GGA-PBEsol) data for YAlIrBr2 after structural relaxation, as listed in Alexandria.

The structure in POSCAR format:
```
YAlIrBr2
1.0
5.088 0.000 0.000
0.000 5.088 0.000
0.000 0.000 4.709
Y Al Ir Br
1 1 1 2
direct
0.000 0.000 0.000
0.500 0.500 0.000
0.500 0.500 0.500
0.000 0.500 0.500
0.500 0.000 0.500
```

Values from the calculation:
- Space-group type: No. 123
- V: 121.93 Å³ per cell
- Final energy: -4.763 eV per atom
- E_form (uncorrected): 0.13 eV per atom

=====

First-principles (GGA-PBEsol) data for KAl3Br after structural relaxation, as listed in Alexandria.

The structure in POSCAR format:
```
KAl3Br
1.0
5.535 0.000 0.000
0.000 5.535 0.000
0.000 0.000 5.535
K Al Br
1 3 1
direct
0.000 0.000 0.000
0.000 0.500 0.500
0.500 0.000 0.500
0.500 0.500 0.000
0.500 0.500 0.500
```

Values from the calculation:
- Space-group type: No. 221
- V: 169.59 Å³ per cell
- Final energy: -2.447 eV per atom
- E_form (uncorrected): 0.61 eV per atom

=====

First-principles (GGA-PBEsol) data for KAlBr after structural relaxation, as listed in Alexandria.

The structure in POSCAR format:
```
KAlBr
1.0
0.000 3.815 3.815
3.815 0.000 3.815
3.815 3.815 0.000
K Al Br
1 1 1
direct
0.000 0.000 0.000
0.250 0.250 0.250
0.750 0.750 0.750
```

Values from the calculation:
- Space-group type: No. 216
- V: 111.08 Å³ per cell
- Final energy: -2.324 eV per atom
- E_form (uncorrected): 0.04 eV per atom

=====

First-principles (GGA-PBEsol) data for KAlBr4 after structural relaxation, as listed in Alexandria.

The structure in POSCAR format:
```
KAlBr4
1.0
8.593 0.000 0.000
0.000 7.510 0.000
-3.554 0.000 12.625
K Al Br
4 4 16
direct
0.000 0.110 0.250
0.000 0.890 0.750
0.500 0.358 0.750
0.500 0.642 0.250
0.292 0.218 0.050
0.292 0.782 0.550
0.708 0.218 0.450
0.708 0.782 0.950
0.154 0.424 0.124
0.154 0.576 0.624
0.206 0.246 0.867
0.206 0.754 0.367
0.225 0.064 0.597
0.225 0.936 0.097
0.435 0.277 0.393
0.435 0.723 0.893
0.565 0.277 0.107
0.565 0.723 0.607
0.775 0.064 0.903
0.775 0.936 0.403
0.794 0.246 0.633
0.794 0.754 0.133
0.846 0.424 0.376
0.846 0.576 0.876
```

Values from the calculation:
- Space-group type: No. 13
- V: 814.66 Å³ per cell
- Final energy: -3.473 eV per atom
- E_form (uncorrected): -1.36 eV per atom

=====

First-principles (GGA-PBEsol) data for KAl2Br after structural relaxation, as listed in Alexandria.

The structure in POSCAR format:
```
KAl2Br
1.0
3.801 0.000 0.000
0.000 3.801 0.000
0.000 0.000 8.390
K Al Br
1 2 1
direct
0.000 0.000 0.000
0.000 0.000 0.421
0.500 0.500 0.489
0.500 0.500 0.809
```

Values from the calculation:
- Distance to the lowest polymorph of the same formula: 0 meV/atom
- Space-group type: No. 99
- V: 121.24 Å³ per cell
- Final energy: -3.034 eV per atom
- E_form (uncorrected): -0.24 eV per atom

=====

First-principles (GGA-PBEsol) data for KAl2Br after structural relaxation, as listed in Alexandria.

The structure in POSCAR format:
```
KAl2Br
1.0
4.018 -2.313 0.000
4.018 2.313 0.000
-0.509 0.000 6.713
K Al Br
1 2 1
direct
0.000 0.000 0.000
0.308 0.308 0.644
0.641 0.641 0.632
0.684 0.684 0.254
```

Values from the calculation:
- Distance to the lowest polymorph of the same formula: 6 meV/atom
- Space-group type: No. 8
- V: 124.78 Å³ per cell
- Final energy: -3.029 eV per atom
- E_form (uncorrected): -0.23 eV per atom

=====

First-principles (GGA-PBEsol) data for KRb2AlBr6 after structural relaxation, as listed in Alexandria.

The structure in POSCAR format:
```
KRb2AlBr6
1.0
0.000 5.535 5.535
5.535 0.000 5.535
5.535 5.535 0.000
K Rb Al Br
1 2 1 6
direct
0.000 0.000 0.000
0.250 0.250 0.250
0.750 0.750 0.750
0.500 0.500 0.500
0.275 0.275 0.725
0.275 0.725 0.275
0.275 0.725 0.725
0.725 0.275 0.275
0.725 0.275 0.725
0.725 0.725 0.275
```

Values from the calculation:
- Space-group type: No. 225
- V: 339.12 Å³ per cell
- Final energy: -3.314 eV per atom
- E_form (uncorrected): -1.46 eV per atom

=====

First-principles (GGA-PBEsol) data for KAlSe2Br after structural relaxation, as listed in Alexandria.

The structure in POSCAR format:
```
KAlSe2Br
1.0
4.849 0.000 0.000
0.000 4.849 0.000
0.000 0.000 5.510
K Al Se Br
1 1 2 1
direct
0.000 0.000 0.000
0.500 0.500 0.500
0.000 0.500 0.500
0.500 0.000 0.500
0.500 0.500 0.000
```

Values from the calculation:
- Space-group type: No. 123
- V: 129.53 Å³ per cell
- Final energy: -3.732 eV per atom
- E_form (uncorrected): -0.77 eV per atom

=====

First-principles (GGA-PBEsol) data for LaAl2Br2 after structural relaxation, as listed in Alexandria.

The structure in POSCAR format:
```
LaAl2Br2
1.0
7.782 0.000 0.000
0.000 7.782 0.000
0.000 0.000 4.362
La Al Br
2 4 4
direct
0.000 0.000 0.000
0.500 0.500 0.000
0.118 0.382 0.000
0.382 0.882 0.000
0.618 0.118 0.000
0.882 0.618 0.000
0.215 0.715 0.500
0.285 0.215 0.500
0.715 0.785 0.500
0.785 0.285 0.500
```

Values from the calculation:
- Space-group type: No. 127
- V: 264.13 Å³ per cell
- Final energy: -3.671 eV per atom
- E_form (uncorrected): -0.22 eV per atom

=====

First-principles (GGA-PBEsol) data for La10Al5Br4 after structural relaxation, as listed in Alexandria.

The structure in POSCAR format:
```
La10Al5Br4
1.0
-4.055 4.055 16.289
4.055 -4.055 16.289
4.055 4.055 -16.289
La Al Br
20 10 8
direct
0.033 0.533 0.160
0.100 0.600 0.840
0.127 0.967 0.500
0.153 0.153 0.000
0.240 0.740 0.840
0.260 0.100 0.500
0.347 0.347 0.000
0.373 0.873 0.840
0.400 0.240 0.500
0.467 0.627 0.500
0.533 0.373 0.500
0.600 0.760 0.500
0.627 0.127 0.160
0.653 0.653 0.000
0.740 0.900 0.500
0.760 0.260 0.160
0.847 0.847 0.000
0.873 0.033 0.500
0.900 0.400 0.160
0.967 0.467 0.840
0.015 0.754 0.500
0.246 0.746 0.261
0.250 0.250 0.000
0.254 0.515 0.500
0.485 0.985 0.739
0.515 0.015 0.261
0.746 0.485 0.500
0.750 0.750 0.000
0.754 0.254 0.739
0.985 0.246 0.500
0.056 0.056 0.000
0.141 0.359 0.500
0.359 0.859 0.218
0.444 0.444 0.000
0.556 0.556 0.000
0.641 0.141 0.782
0.859 0.641 0.500
0.944 0.944 0.000
```

Values from the calculation:
- Space-group type: No. 140
- V: 1071.58 Å³ per cell
- Final energy: -5.084 eV per atom
- E_form (uncorrected): -0.80 eV per atom

=====

First-principles (GGA-PBEsol) data for Li2LaAlBr after structural relaxation, as listed in Alexandria.

The structure in POSCAR format:
```
Li2LaAlBr
1.0
6.174 0.000 0.000
0.000 6.174 0.000
0.000 0.000 5.748
Li La Al Br
2 1 1 1
direct
0.000 0.500 0.000
0.500 0.000 0.000
0.000 0.000 0.000
0.000 0.000 0.500
0.500 0.500 0.500
```

Values from the calculation:
- Space-group type: No. 123
- V: 219.09 Å³ per cell
- Final energy: -2.118 eV per atom
- E_form (uncorrected): 0.93 eV per atom

=====

First-principles (GGA-PBEsol) data for LiAl3Br after structural relaxation, as listed in Alexandria.

The structure in POSCAR format:
```
LiAl3Br
1.0
4.717 0.000 0.000
0.000 4.717 0.000
0.000 0.000 4.717
Li Al Br
1 3 1
direct
0.000 0.000 0.000
0.000 0.000 0.500
0.000 0.500 0.000
0.500 0.000 0.000
0.500 0.500 0.500
```

Values from the calculation:
- Space-group type: No. 221
- V: 104.93 Å³ per cell
- Final energy: -2.853 eV per atom
- E_form (uncorrected): 0.37 eV per atom

=====

First-principles (GGA-PBEsol) data for LiAlBr4 after structural relaxation, as listed in Alexandria.

The structure in POSCAR format:
```
LiAlBr4
1.0
0.000 4.471 4.471
4.471 0.000 4.471
4.471 4.471 0.000
Li Al Br
1 1 4
direct
0.000 0.000 0.000
0.750 0.750 0.750
0.375 0.375 0.375
0.375 0.375 0.875
0.375 0.875 0.375
0.875 0.375 0.375
```

Values from the calculation:
- Space-group type: No. 216
- V: 178.74 Å³ per cell
- Final energy: -2.123 eV per atom
- E_form (uncorrected): 0.13 eV per atom

=====

First-principles (GGA-PBEsol) data for LiAlBr2 after structural relaxation, as listed in Alexandria.

The structure in POSCAR format:
```
LiAlBr2
1.0
5.315 0.000 0.000
0.000 3.626 0.000
-2.637 0.000 5.172
Li Al Br
1 1 2
direct
0.000 0.000 0.000
0.802 0.500 0.325
0.172 0.500 0.801
0.511 0.000 0.438
```

Values from the calculation:
- Space-group type: No. 6
- V: 99.68 Å³ per cell
- Final energy: -3.245 eV per atom
- E_form (uncorrected): -0.80 eV per atom

=====

First-principles (GGA-PBEsol) data for LiAlBr3 after structural relaxation, as listed in Alexandria.

The structure in POSCAR format:
```
LiAlBr3
1.0
4.926 0.000 0.000
0.000 4.926 0.000
0.000 0.000 4.926
Li Al Br
1 1 3
direct
0.000 0.000 0.000
0.500 0.500 0.500
0.000 0.000 0.500
0.000 0.500 0.000
0.500 0.000 0.000
```

Values from the calculation:
- Space-group type: No. 221
- V: 119.54 Å³ per cell
- Final energy: -2.772 eV per atom
- E_form (uncorrected): -0.44 eV per atom

=====

First-principles (GGA-PBEsol) data for Li2AlBr after structural relaxation, as listed in Alexandria.

The structure in POSCAR format:
```
Li2AlBr
1.0
3.411 0.000 0.000
0.000 3.411 0.000
0.000 0.000 7.666
Li Al Br
2 1 1
direct
0.000 0.000 0.000
0.500 0.500 0.255
0.000 0.000 0.433
0.500 0.500 0.919
```

Values from the calculation:
- Distance to the lowest polymorph of the same formula: 0 meV/atom
- Space-group type: No. 99
- V: 89.17 Å³ per cell
- Final energy: -2.870 eV per atom
- E_form (uncorrected): -0.40 eV per atom